--- w ---
Density functional theory data (PBE) for a relaxed CaThPdPt crystal. Values from VASP.

Geometry as Quantum ESPRESSO input:
```
&SYSTEM
  ibrav = 0, nat = 4, ntyp = 4
/
ATOMIC_SPECIES
Ca 40.08 Ca.upf
Pd 106.42 Pd.upf
Pt 195.08 Pt.upf
Th 232.04 Th.upf
CELL_PARAMETERS angstrom
5.0542 0.0000 0.0000
2.5271 4.3771 0.0000
2.5271 1.4590 4.1267
ATOMIC_POSITIONS crystal
Ca 0.5000 0.5000 0.5000
Pd 0.7500 0.7500 0.7500
Pt 0.2500 0.2500 0.2500
Th 0.0000 0.0000 0.0000
```

Results
space-group type = F-43m
Fermi-level density of states = 0.862 states/eV per atom


--- x ---
Density functional theory data (PBE) for a relaxed CaThPdPt crystal. Values from VASP.

Geometry as Quantum ESPRESSO input:
```
&SYSTEM
  ibrav = 0, nat = 4, ntyp = 4
/
ATOMIC_SPECIES
Ca 40.08 Ca.upf
Th 232.04 Th.upf
Pd 106.42 Pd.upf
Pt 195.08 Pt.upf
CELL_PARAMETERS angstrom
-2.6253 1.7311 -2.3129
-0.9854 -3.9140 -1.8110
-2.5954 -1.6593 4.9982
ATOMIC_POSITIONS crystal
Ca 0.1399 0.0000 0.2798
Th 0.8679 0.5000 0.7358
Pd 0.5835 0.5000 0.1671
Pt 0.4086 0.0000 0.8173
```

Results
space-group type = Amm2
Fermi-level density of states = 0.666 states/eV per atom


From most stable to least stable, the computed energies give x, w.